# 1
# ZnCdIr2 (PBE, relaxed)
# * E_tot: -4.873 eV per atom
data_ZnCdIr2
_space_group_name_H-M_alt 'C 1 m 1'
_space_group_IT_number 8
_cell_length_a 9.2683
_cell_length_b 2.8633
_cell_length_c 4.8723
_cell_angle_alpha 90.00
_cell_angle_beta 101.03
_cell_angle_gamma 90.00
loop_
_space_group_symop_operation_xyz
'x,y,z'
'x,-y,z'
'x+1/2,y+1/2,z'
'x+1/2,-y+1/2,z'
loop_
_atom_site_label
_atom_site_fract_x
_atom_site_fract_y
_atom_site_fract_z
Zn1 0.0000 0.0000 0.0000
Cd1 0.2369 0.0000 0.7545
Ir1 0.2408 0.5000 0.2598
Ir2 0.4785 0.0000 0.4580

***

# 2
# ZnCdIr2 (PBE, relaxed)
# * E_tot: -4.480 eV per atom
data_ZnCdIr2
_space_group_name_H-M_alt 'I -4 2 d'
_space_group_IT_number 122
_space_group_name_Hall 'I -4 2bw'
_cell_length_a 7.3504
_cell_length_b 7.3504
_cell_length_c 5.1180
_cell_angle_alpha 90.00
_cell_angle_beta 90.00
_cell_angle_gamma 90.00
loop_
_atom_site_label
_atom_site_fract_x
_atom_site_fract_y
_atom_site_fract_z
Zn1 0.0000 0.0000 0.0000
Cd1 0.0000 0.0000 0.5000
Ir1 0.2107 0.2500 0.1250

***

# 3
# ZnCdIr2 (PBE, relaxed)
# * E_tot: -4.789 eV per atom
data_ZnCdIr2
_space_group_name_H-M_alt 'C m m m'
_space_group_IT_number 65
_space_group_name_Hall '-C 2 2'
_cell_length_a 5.6127
_cell_length_b 7.9620
_cell_length_c 2.8241
_cell_angle_alpha 90.00
_cell_angle_beta 90.00
_cell_angle_gamma 90.00
loop_
_atom_site_label
_atom_site_fract_x
_atom_site_fract_y
_atom_site_fract_z
Zn1 0.0000 0.0000 0.0000
Cd1 0.0000 0.5000 0.0000
Ir1 0.2500 0.2500 0.5000

***

# 4
# ZnCdIr2 (PBE, relaxed)
# * E_tot: -4.811 eV per atom
data_ZnCdIr2
_space_group_name_H-M_alt 'I m m 2'
_space_group_IT_number 44
_cell_length_a 2.8890
_cell_length_b 4.6376
_cell_length_c 9.6250
_cell_angle_alpha 90.00
_cell_angle_beta 90.00
_cell_angle_gamma 90.00
loop_
_space_group_symop_operation_xyz
'x,y,z'
'-x,-y,z'
'-x,y,z'
'x,-y,z'
'x+1/2,y+1/2,z+1/2'
'-x+1/2,-y+1/2,z+1/2'
'-x+1/2,y+1/2,z+1/2'
'x+1/2,-y+1/2,z+1/2'
loop_
_atom_site_label
_atom_site_fract_x
_atom_site_fract_y
_atom_site_fract_z
Zn1 0.0000 0.0000 0.0000
Cd1 0.0000 0.5000 0.7726
Ir1 0.0000 0.0000 0.5377
Ir2 0.0000 0.5000 0.2670

***

Asked for volume across the records above, the calculation gives 126.91; 276.52; 126.20; 128.96 Å³ per cell in order.
Asked for D(E_F) across the records above, the calculation gives 0.82; 0.76; 1.23; 0.93 states/eV per atom in order.
Asked for E_form across the records above, the calculation gives 0.4; 2.0; 0.8; 0.7 eV per formula unit in order.